ZnFeSb2 | GGA-PBE | optimized geometry

Geometry as CIF:
```
data_ZnFeSb2
_space_group_name_H-M_alt 'P 1'
_space_group_IT_number 1
_space_group_name_Hall 'P 1'
_cell_length_a 4.6779
_cell_length_b 4.6779
_cell_length_c 3.6289
_cell_angle_alpha 90.00
_cell_angle_beta 90.00
_cell_angle_gamma 90.00
loop_
_atom_site_label
_atom_site_fract_x
_atom_site_fract_y
_atom_site_fract_z
Fe1 0.0000 0.5000 0.5000
Sb1 0.0000 0.0000 0.0000
Sb2 0.5000 0.5000 0.0000
Zn1 0.5000 0.0000 0.5000
```

Properties
For the magnetization, the calculation gives 2.5 Bohr magnetons per cell. The uncorrected formation energy is 417 meV/atom. The symmetry is P4/mmm, No. 123. For the calculated volume, the calculation gives 79.4 Å³/f.u. Its final energy is -4.08 eV per atom. For the density, the calculation gives 7.628 g cm⁻³.



ZnFe3Sb | GGA-PBE | optimized geometry

Geometry as CIF:
```
data_ZnFe3Sb
_space_group_name_H-M_alt 'P 1'
_space_group_IT_number 1
_space_group_name_Hall 'P 1'
_cell_length_a 4.7730
_cell_length_b 4.7730
_cell_length_c 4.7730
_cell_angle_alpha 90.00
_cell_angle_beta 90.00
_cell_angle_gamma 90.00
loop_
_atom_site_label
_atom_site_fract_x
_atom_site_fract_y
_atom_site_fract_z
Sb1 0.0000 0.0000 0.0000
Zn1 0.5000 0.5000 0.5000
Fe1 0.0000 0.5000 0.0000
Fe2 0.0000 0.0000 0.5000
Fe3 0.5000 0.0000 0.0000
```

Properties
For the magnetization, the calculation gives 8.1 Bohr magnetons per cell. The uncorrected formation energy is 1270 meV/atom. The symmetry is Pm-3m, No. 221. For the calculated volume, the calculation gives 108.7 Å³/f.u. Its final energy is -4.89 eV per atom. For the density, the calculation gives 5.417 g cm⁻³.



ZnFeSb2 | GGA-PBE | optimized geometry

Geometry as CIF:
```
data_ZnFeSb2
_space_group_name_H-M_alt 'P 1'
_space_group_IT_number 1
_space_group_name_Hall 'P 1'
_cell_length_a 5.9128
_cell_length_b 5.9128
_cell_length_c 5.9128
_cell_angle_alpha 140.59
_cell_angle_beta 140.59
_cell_angle_gamma 56.96
loop_
_atom_site_label
_atom_site_fract_x
_atom_site_fract_y
_atom_site_fract_z
Fe1 0.7500 0.2500 0.5000
Sb1 0.0000 0.0000 0.0000
Sb2 0.2500 0.7500 0.5000
Zn1 0.5000 0.5000 0.0000
```

Properties
For the magnetization, the calculation gives 2.9 Bohr magnetons per cell. The uncorrected formation energy is 430 meV/atom. The symmetry is I-4m2, No. 119. For the calculated volume, the calculation gives 82.6 Å³/f.u. Its final energy is -4.07 eV per atom. For the density, the calculation gives 7.331 g cm⁻³.